No. 1
This record from Alexandria describes a geometry-optimized Mg3Zn4Ir2 structure. The functional is PBE.

- Total moment: 0.00 Bohr magnetons per cell
- Energy of formation from the pure elements: -0.253 eV per atom

abc: 7.6651 4.3952 8.1942
angles: 90.00 90.60 90.00
Space group C2/m (No. 12)
Asymmetric unit:
1 Mg 0.0000 0.0000 0.0000 (multiplicity 2)
2 Mg 0.1672 0.5000 0.5750 (multiplicity 4)
3 Zn 0.0007 0.0000 0.6749 (multiplicity 4)
4 Zn 0.1670 0.5000 0.8989 (multiplicity 4)
5 Ir 0.1658 0.5000 0.2264 (multiplicity 4)

---

No. 2
This record from Alexandria describes a geometry-optimized MgZn2Ir structure. The functional is PBE.

- Total moment: 0.00 Bohr magnetons per cell
- Energy of formation from the pure elements: -0.243 eV per atom

abc: 3.9060 3.9060 3.9132
angles: 90.00 90.00 90.00
Space group P4/mmm (No. 123)
Asymmetric unit:
1 Mg 0.0000 0.0000 0.0000 (multiplicity 1)
2 Zn 0.0000 0.5000 0.5000 (multiplicity 2)
3 Ir 0.5000 0.5000 0.0000 (multiplicity 1)

---

No. 3
This record from Alexandria describes a geometry-optimized Mg3ZnIr structure. The functional is PBE.

- Total moment: 0.00 Bohr magnetons per cell
- Relative energy among the computed polymorphs: 0 meV per atom
- Energy of formation from the pure elements: -0.207 eV per atom

abc: 6.6088 6.7696 8.8339
angles: 90.00 99.42 90.00
Space group P2_1/c (No. 14)
Asymmetric unit:
1 Mg 0.1381 0.1372 0.4199 (multiplicity 4)
2 Mg 0.1986 0.5447 0.6137 (multiplicity 4)
3 Mg 0.2855 0.0170 0.7449 (multiplicity 4)
4 Zn 0.4357 0.6815 0.9459 (multiplicity 4)
5 Ir 0.0592 0.7422 0.8522 (multiplicity 4)

---

No. 4
This record from Alexandria describes a geometry-optimized MgZn2Ir structure. The functional is PBE.

- Total moment: 0.46 Bohr magnetons per cell
- Energy of formation from the pure elements: -0.014 eV per atom

abc: 2.9108 2.9108 26.1619
angles: 90.00 90.00 120.00
Space group R-3m (No. 166, hexagonal axes)
Asymmetric unit:
1 Mg 0.0000 0.0000 0.0000 (multiplicity 3)
2 Zn 0.0000 0.0000 0.2445 (multiplicity 6)
3 Ir 0.0000 0.0000 0.5000 (multiplicity 3)

---

No. 5
This record from Alexandria describes a geometry-optimized MgZnIr2 structure. The functional is PBE.

- Total moment: 0.00 Bohr magnetons per cell
- Energy of formation from the pure elements: -0.106 eV per atom

abc: 3.8924 3.8924 7.8684
angles: 90.00 90.00 90.00
Space group I-4m2 (No. 119)
Asymmetric unit:
1 Mg 0.0000 0.0000 0.0000 (multiplicity 2)
2 Zn 0.0000 0.5000 0.7500 (multiplicity 2)
3 Ir 0.0000 0.0000 0.5000 (multiplicity 2)
4 Ir 0.0000 0.5000 0.2500 (multiplicity 2)

---

No. 6
This record from Alexandria describes a geometry-optimized MgZnIr2 structure. The functional is PBE.

- Total moment: 0.00 Bohr magnetons per cell
- Energy of formation from the pure elements: -0.134 eV per atom

abc: 2.8041 4.3279 5.1588
angles: 90.00 105.19 90.00
Space group Pm (No. 6)
Asymmetric unit:
1 Mg 0.0000 0.0000 0.0000 (multiplicity 1)
2 Zn 0.5978 0.5000 0.2040 (multiplicity 1)
3 Ir 0.3324 0.5000 0.6849 (multiplicity 1)
4 Ir 0.7315 0.0000 0.4828 (multiplicity 1)

---

No. 7
This record from Alexandria describes a geometry-optimized MgZn2Ir structure. The functional is PBE.

- Total moment: 0.00 Bohr magnetons per cell
- Energy of formation from the pure elements: -0.189 eV per atom

abc: 6.2157 6.2157 6.2157
angles: 90.00 90.00 90.00
Space group F-43m (No. 216)
Asymmetric unit:
1 Mg 0.0000 0.0000 0.0000 (multiplicity 4)
2 Zn 0.0000 0.0000 0.5000 (multiplicity 4)
3 Zn 0.2500 0.2500 0.2500 (multiplicity 4)
4 Ir 0.2500 0.2500 0.7500 (multiplicity 4)

---

No. 8
This record from Alexandria describes a geometry-optimized Mg3Zn2Ir structure. The functional is PBE.

- Total moment: 0.00 Bohr magnetons per cell
- Energy of formation from the pure elements: -0.223 eV per atom

abc: 4.5243 3.2200 7.1924
angles: 90.00 107.78 90.00
Space group P2/m (No. 10)
Asymmetric unit:
1 Mg 0.0000 0.0000 0.0000 (multiplicity 1)
2 Mg 0.3211 0.0000 0.6807 (multiplicity 2)
3 Zn 0.1899 0.5000 0.3269 (multiplicity 2)
4 Ir 0.5000 0.5000 0.0000 (multiplicity 1)

---

- Which formula does entry 8 have?
  Mg3Zn2Ir

---

Copy entry 4 word for word.
This record from Alexandria describes a geometry-optimized MgZn2Ir structure. The functional is PBE.

- Total moment: 0.46 Bohr magnetons per cell
- Energy of formation from the pure elements: -0.014 eV per atom

abc: 2.9108 2.9108 26.1619
angles: 90.00 90.00 120.00
Space group R-3m (No. 166, hexagonal axes)
Asymmetric unit:
1 Mg 0.0000 0.0000 0.0000 (multiplicity 3)
2 Zn 0.0000 0.0000 0.2445 (multiplicity 6)
3 Ir 0.0000 0.0000 0.5000 (multiplicity 3)